This record from the Alexandria database describes an optimized crystal structure of LaZnFe2Si. The functional is PBE.

Calculated total energy, eV for the cell shown: -22.705
Total magnetic moment, μB per cell: 0.43
D(E_F), states/eV/cell: 10.52

Unit cell a=4.469 b=5.269 c=4.469 alpha=90.00 beta=90.00 gamma=90.00
Atoms (fractional coordinates):
Fe 0.000 0.000 0.500
Fe 0.500 0.000 0.000
Zn 0.000 0.000 0.000
La 0.000 0.500 0.000
Si 0.500 0.500 0.500

---

This record from the Alexandria database describes an optimized crystal structure of LaZrFe2Si. The functional is PBE.

Calculated total energy, eV for the cell shown: -28.077
Total magnetic moment, μB per cell: 3.21
D(E_F), states/eV/cell: 4.86

Unit cell a=4.428 b=5.446 c=4.428 alpha=90.00 beta=90.00 gamma=90.00
Atoms (fractional coordinates):
Zr 0.000 0.500 0.000
La 0.000 0.000 0.000
Si 0.500 0.500 0.500
Fe 0.500 0.000 0.000
Fe 0.000 0.000 0.500

---

This record from the Alexandria database describes an optimized crystal structure of La4Sm2Fe. The functional is PBE.

Calculated total energy, eV for the cell shown: -35.635
Total magnetic moment, μB per cell: 0.00
DFT formation energy, eV/atom: 0.282
D(E_F), states/eV/cell: 13.81

Unit cell a=5.101 b=5.101 c=9.926 alpha=75.11 beta=75.11 gamma=90.00
Atoms (fractional coordinates):
La 0.500 0.000 0.000
La 0.000 0.500 0.000
La 0.154 0.154 0.692
La 0.846 0.846 0.308
Sm 0.328 0.328 0.343
Sm 0.672 0.672 0.657
Fe 0.000 0.000 0.000

---

This record from the Alexandria database describes an optimized crystal structure of LaSmFe4. The functional is PBE.

Calculated total energy, eV for the cell shown: -43.130
Total magnetic moment, μB per cell: 7.75
DFT formation energy, eV/atom: 0.061
D(E_F), states/eV/cell: 7.90

Unit cell a=5.252 b=5.252 c=5.252 alpha=60.00 beta=60.00 gamma=60.00
Atoms (fractional coordinates):
Fe 0.625 0.625 0.125
Fe 0.625 0.125 0.625
Fe 0.125 0.625 0.625
Fe 0.625 0.625 0.625
Sm 0.000 0.000 0.000
La 0.250 0.250 0.250

---

This record from the Alexandria database describes an optimized crystal structure of LaSmFe. The functional is PBE.

Calculated total energy, eV for the cell shown: -70.935
Distance to the lowest polymorph of the same formula, kJ/mol of atoms: 0.0
Total magnetic moment, μB per cell: 0.00
DFT formation energy, eV/atom: 0.125
D(E_F), states/eV/cell: 13.25

Unit cell a=6.895 b=7.401 c=6.956 alpha=90.00 beta=90.00 gamma=117.76
Atoms (fractional coordinates):
Sm 0.781 0.063 0.250
Sm 0.719 0.937 0.750
Sm 0.281 0.063 0.250
Sm 0.219 0.937 0.750
La 0.699 0.398 0.858
La 0.301 0.602 0.142
La 0.199 0.398 0.642
La 0.801 0.602 0.358
Fe 0.884 0.768 0.058
Fe 0.384 0.768 0.442
Fe 0.116 0.232 0.942
Fe 0.616 0.232 0.558

---

This record from the Alexandria database describes an optimized crystal structure of LaSmFe. The functional is PBE.

Calculated total energy, eV for the cell shown: -17.634
Distance to the lowest polymorph of the same formula, kJ/mol of atoms: 3.2
Total magnetic moment, μB per cell: 0.94
DFT formation energy, eV/atom: 0.159
D(E_F), states/eV/cell: 4.05

Unit cell a=3.485 b=3.485 c=7.126 alpha=104.16 beta=104.16 gamma=90.00
Atoms (fractional coordinates):
La 0.293 0.293 0.585
Fe 0.664 0.664 0.328
Sm 0.043 0.043 0.086

---

This record from the Alexandria database describes an optimized crystal structure of La3SmFe. The functional is PBE.

Calculated total energy, eV for the cell shown: -27.336
Total magnetic moment, μB per cell: 0.00
DFT formation energy, eV/atom: 0.126
D(E_F), states/eV/cell: 8.26

Unit cell a=5.447 b=5.447 c=5.447 alpha=90.00 beta=90.00 gamma=90.00
Atoms (fractional coordinates):
La 0.500 0.000 0.000
La 0.000 0.500 0.000
La 0.000 0.000 0.500
Fe 0.000 0.000 0.000
Sm 0.500 0.500 0.500

---

This record from the Alexandria database describes an optimized crystal structure of LaSmZnFe. The functional is PBE.

Calculated total energy, eV for the cell shown: -19.347
Total magnetic moment, μB per cell: 1.54
DFT formation energy, eV/atom: 0.009
D(E_F), states/eV/cell: 4.29

Unit cell a=5.106 b=5.106 c=5.106 alpha=60.00 beta=60.00 gamma=60.00
Atoms (fractional coordinates):
Zn 0.250 0.250 0.250
Sm 0.500 0.500 0.500
La 0.000 0.000 0.000
Fe 0.750 0.750 0.750

---

This record from the Alexandria database describes an optimized crystal structure of LaFe3Sn. The functional is PBE.

Calculated total energy, eV for the cell shown: -30.484
Distance to the lowest polymorph of the same formula, kJ/mol of atoms: 0.0
Total magnetic moment, μB per cell: 7.00
DFT formation energy, eV/atom: 0.767
D(E_F), states/eV/cell: 10.81

Unit cell a=4.852 b=4.852 c=4.852 alpha=90.00 beta=90.00 gamma=90.00
Atoms (fractional coordinates):
Sn 0.000 0.000 0.000
La 0.500 0.500 0.500
Fe 0.500 0.000 0.000
Fe 0.000 0.500 0.000
Fe 0.000 0.000 0.500

---

This record from the Alexandria database describes an optimized crystal structure of LaFe2Sn2. The functional is PBE.

Calculated total energy, eV for the cell shown: -58.630
Total magnetic moment, μB per cell: 1.36
DFT formation energy, eV/atom: 0.109
D(E_F), states/eV/cell: 14.01

Unit cell a=7.708 b=7.708 c=3.192 alpha=90.00 beta=90.00 gamma=90.00
Atoms (fractional coordinates):
Sn 0.351 0.149 0.500
Sn 0.851 0.351 0.500
Sn 0.149 0.649 0.500
Sn 0.649 0.851 0.500
Fe 0.640 0.140 0.000
Fe 0.140 0.360 0.000
Fe 0.860 0.640 0.000
Fe 0.360 0.860 0.000
La 0.500 0.500 0.000
La 0.000 0.000 0.000

---

This record from the Alexandria database describes an optimized crystal structure of La2FeSn4. The functional is PBE.

Calculated total energy, eV for the cell shown: -38.120
Total magnetic moment, μB per cell: 1.83
DFT formation energy, eV/atom: -0.542
D(E_F), states/eV/cell: 4.52

Unit cell a=8.894 b=8.894 c=4.652 alpha=90.00 beta=90.00 gamma=149.44
Atoms (fractional coordinates):
La 0.397 0.603 0.500
La 0.603 0.397 0.000
Sn 0.758 0.242 0.500
Sn 0.255 0.745 0.000
Sn 0.935 0.065 0.000
Sn 0.050 0.950 0.500
Fe 0.198 0.802 0.500

---

This record from the Alexandria database describes an optimized crystal structure of LaFeSn3. The functional is PBE.

Calculated total energy, eV for the cell shown: -17.204
Total magnetic moment, μB per cell: 0.30
DFT formation energy, eV/atom: 1.639
D(E_F), states/eV/cell: 14.50

Unit cell a=5.948 b=5.948 c=5.948 alpha=90.00 beta=90.00 gamma=90.00
Atoms (fractional coordinates):
La 0.000 0.000 0.000
Sn 0.000 0.500 0.000
Sn 0.500 0.000 0.000
Sn 0.000 0.000 0.500
Fe 0.500 0.500 0.500